No. 1
Compound: RbBiSbSe3
Source: Alexandria
Functional: PBE
Structure: relaxed

Values from the calculation:
The energy comes out at -22.6 eV per formula unit. The formation energy from raw total energies comes out at -0.525 eV/atom.

a = 4.5279 Å, b = 8.7532 Å, c = 11.7659 Å
α = 111.62°, β = 90.00°, γ = 90.00°
Atoms (fractional coordinates):
Rb: 0.7500 0.7726 0.7395
Rb: 0.2500 0.2274 0.2605
Bi: 0.2500 0.6280 0.1543
Bi: 0.7500 0.3720 0.8457
Sb: 0.2500 0.1334 0.5494
Sb: 0.7500 0.8666 0.4506
Se: 0.2500 0.6637 0.4170
Se: 0.7500 0.8869 0.2348
Se: 0.7500 0.3908 0.0982
Se: 0.7500 0.3363 0.5830
Se: 0.2500 0.6092 0.9018
Se: 0.2500 0.1131 0.7652



No. 2
Compound: Rb2BiSbSe4
Source: Alexandria
Functional: PBE
Structure: relaxed

Values from the calculation:
The energy comes out at -29.4 eV per formula unit. The formation energy from raw total energies comes out at -0.691 eV/atom.

a = 8.9967 Å, b = 8.9967 Å, c = 9.0334 Å
α = 120.13°, β = 120.13°, γ = 89.99°
Atoms (fractional coordinates):
Rb: 0.5000 0.0000 0.0000
Rb: 0.5000 0.0000 0.5000
Rb: 0.0000 0.0000 0.5000
Rb: 0.5000 0.5000 0.0000
Bi: 0.0000 0.5000 0.0000
Bi: 0.0000 0.5000 0.5000
Sb: 0.5000 0.5000 0.5000
Sb: 0.0000 0.0000 0.0000
Se: 0.2050 0.7393 0.9722
Se: 0.7607 0.2950 0.5278
Se: 0.2393 0.7050 0.4722
Se: 0.7950 0.2607 0.0278
Se: 0.7637 0.7363 0.9660
Se: 0.7637 0.7363 0.5340
Se: 0.2363 0.2637 0.4660
Se: 0.2363 0.2637 0.0340



No. 3
Compound: Rb2Sn5Bi2Sb2
Source: Alexandria
Functional: PBE
Structure: relaxed

Values from the calculation:
The energy comes out at -37.0 eV per formula unit. The formation energy from raw total energies comes out at 0.082 eV/atom.

a = 5.4286 Å, b = 5.4286 Å, c = 17.7664 Å
α = 98.79°, β = 98.79°, γ = 90.00°
Atoms (fractional coordinates):
Rb: 0.2096 0.2096 0.4192
Rb: 0.7904 0.7904 0.5808
Sn: 0.0000 0.0000 0.0000
Sn: 0.6270 0.1270 0.2540
Sn: 0.8730 0.3730 0.7460
Sn: 0.1270 0.6270 0.2540
Sn: 0.3730 0.8730 0.7460
Bi: 0.3244 0.3244 0.6489
Bi: 0.6756 0.6756 0.3511
Sb: 0.0867 0.0867 0.1733
Sb: 0.9133 0.9133 0.8267



No. 4
Compound: Rb2TaBiSb
Source: Alexandria
Functional: PBE
Structure: relaxed

Values from the calculation:
The energy comes out at -16.7 eV per formula unit. The formation energy from raw total energies comes out at 1.020 eV/atom.

a = 6.9374 Å, b = 5.4275 Å, c = 6.9374 Å
α = 90.00°, β = 90.00°, γ = 90.00°
Site moments in Bohr magnetons follow the coordinates.
Atoms (fractional coordinates):
Sb: 0.5000 0.5000 0.5000  0.68
Bi: 0.0000 0.5000 0.0000  -0.09
Rb: 0.0000 0.0000 0.5000  0.04
Rb: 0.5000 0.0000 0.0000  0.04
Ta: 0.0000 0.0000 0.0000  1.91